CuPW4N2, relaxed, DFT PBE; final energy = -9.520 eV per atom; theoretical density = 14.33 g/cm³
1.0
-0.889 1.477 2.316
-1.582 0.014 -2.415
-6.864 -11.079 4.434
W P N Cu
4 1 2 1
Direct
0.667 0.333 0.365
0.667 0.333 0.635
0.000 0.000 0.157
0.000 0.000 0.843
0.000 0.000 0.500
0.333 0.667 0.258
0.333 0.667 0.742
0.667 0.333 0.000